MgP2HCl | PBE | relaxed

Calculated values
* total magnetization: 3.213 μB/f.u.
* offset from the most stable computed form: 863 meV/atom
* crystal system: tetragonal

```
MgP2HCl
1.0
4.997 0.000 0.000
0.000 4.997 0.000
0.000 0.000 5.057
P Mg H Cl
2 1 1 1
direct
0.000 0.500 0.000
0.500 0.000 0.000
0.000 0.000 0.000
0.500 0.500 0.500
0.000 0.000 0.500
```